Entry 1:
BeCo5: relaxed, PBE.

The structure in POSCAR format:
```
BeCo5
1.0
0.000 3.245 3.245
3.245 0.000 3.245
3.245 3.245 0.000
Be Co
1 5
direct
0.000 0.000 0.000
0.250 0.250 0.250
0.625 0.625 0.625
0.625 0.625 0.124
0.124 0.625 0.625
0.625 0.124 0.625
```

Calculated values
Symmetry: No. 216
Calculated volume, A^3/atom: 11.4
Crystal system: cubic
Energy of formation from the pure elements, eV/atom: 0.259
DOS at the Fermi energy, states/eV/atom: 1.019

=====

Entry 2:
BeCo: relaxed, PBE.

The structure in POSCAR format:
```
BeCo
1.0
-0.030 -0.374 2.409
0.364 -1.872 -1.519
7.333 1.201 0.278
Be Co
2 2
direct
0.000 0.000 0.004
0.667 0.333 0.246
0.000 0.000 0.492
0.667 0.333 0.758
```

Calculated values
Symmetry: No. 164
Calculated volume, A^3/atom: 9.6
Crystal system: trigonal
Energy of formation from the pure elements, eV/atom: -0.024
DOS at the Fermi energy, states/eV/atom: 0.795

=====

Entry 3:
BeCo2: relaxed, PBE.

The structure in POSCAR format:
```
BeCo2
1.0
3.632 0.000 0.000
0.000 4.646 0.000
0.000 0.000 6.838
Be Co
4 8
direct
0.250 0.684 0.398
0.750 0.816 0.898
0.250 0.184 0.102
0.750 0.316 0.602
0.250 0.052 0.774
0.750 0.448 0.274
0.250 0.552 0.726
0.750 0.948 0.226
0.250 0.175 0.433
0.750 0.325 0.933
0.250 0.675 0.067
0.750 0.825 0.567
```

Calculated values
Symmetry: No. 62
Calculated volume, A^3/atom: 9.6
Crystal system: orthorhombic
Energy of formation from the pure elements, eV/atom: -0.109
DOS at the Fermi energy, states/eV/atom: 1.130